w:
Ac2Tl3Zn2 after structural relaxation. Source: Alexandria via LeMat-Bulk, functional GGA-PBE.

## Properties
As for the space group: C2/m (12).

Structure (POSCAR):
```
Ac2Tl3Zn2
1.0
11.7101 0.0000 0.0000
0.0000 4.7720 0.0000
-1.1279 0.0000 7.1832
Ac Tl Zn
4 6 4
Direct
0.1254 0.0000 0.3306 Ac
0.3746 0.5000 0.6694 Ac
0.6254 0.5000 0.3306 Ac
0.8746 0.0000 0.6694 Ac
0.0000 0.5000 0.0000 Tl
0.1898 0.0000 0.8505 Tl
0.3102 0.5000 0.1495 Tl
0.5000 0.0000 0.0000 Tl
0.6898 0.5000 0.8505 Tl
0.8102 0.0000 0.1495 Tl
0.0848 0.5000 0.6425 Zn
0.4152 0.0000 0.3575 Zn
0.5848 0.0000 0.6425 Zn
0.9152 0.5000 0.3575 Zn
```

---

x:
Ac2Tl3Zn2 after structural relaxation. Source: Alexandria via LeMat-Bulk, functional GGA-PBE.

## Properties
As for the space group: C2/m (12).

Structure (POSCAR):
```
Ac2Tl3Zn2
1.0
11.3248 0.0000 0.0000
0.0000 4.6796 0.0000
-3.0532 0.0000 7.5734
Ac Tl Zn
4 6 4
Direct
0.1381 0.0000 0.2892 Ac
0.3619 0.5000 0.7108 Ac
0.6381 0.5000 0.2892 Ac
0.8619 0.0000 0.7108 Ac
0.0000 0.5000 0.5000 Tl
0.1277 0.5000 0.9453 Tl
0.3723 0.0000 0.0547 Tl
0.5000 0.0000 0.5000 Tl
0.6277 0.0000 0.9453 Tl
0.8723 0.5000 0.0547 Tl
0.1607 0.0000 0.7152 Zn
0.3393 0.5000 0.2848 Zn
0.6607 0.5000 0.7152 Zn
0.8393 0.0000 0.2848 Zn
```

---

Quick ranking, most stable first: w, x.

---

w:
Ac6Tl5Zn after structural relaxation. Source: Alexandria via LeMat-Bulk, functional GGA-PBE.

## Properties
As for the space group: P2/m (10).

Structure (POSCAR):
```
Ac6Tl5Zn
1.0
5.8255 0.0000 0.0000
0.0000 8.1529 0.0000
-2.9021 0.0000 8.7385
Ac Tl Zn
6 5 1
Direct
0.0000 0.2423 0.0000 Ac
0.0000 0.7577 0.0000 Ac
0.3367 0.2441 0.6734 Ac
0.3367 0.7559 0.6734 Ac
0.6633 0.2441 0.3266 Ac
0.6633 0.7559 0.3266 Ac
0.1656 0.0000 0.3313 Tl
0.1685 0.5000 0.3370 Tl
0.5000 0.5000 0.0000 Tl
0.8315 0.5000 0.6630 Tl
0.8344 0.0000 0.6687 Tl
0.5000 0.0000 0.0000 Zn
```

---

x:
Ac6Tl5Zn after structural relaxation. Source: Alexandria via LeMat-Bulk, functional GGA-PBE.

## Properties
As for the space group: C2/m (12).

Structure (POSCAR):
```
Ac6Tl5Zn
1.0
3.5940 -6.2616 0.0000
3.5940 6.2616 0.0000
-2.4488 0.0000 9.9313
Ac Tl Zn
6 5 1
Direct
0.0633 0.3943 0.7303 Ac
0.2241 0.2241 0.2277 Ac
0.3943 0.0633 0.7303 Ac
0.6057 0.9367 0.2697 Ac
0.7759 0.7759 0.7723 Ac
0.9367 0.6057 0.2697 Ac
0.1999 0.8001 0.0000 Tl
0.3663 0.6337 0.5000 Tl
0.5000 0.5000 0.0000 Tl
0.6337 0.3663 0.5000 Tl
0.8001 0.1999 0.0000 Tl
0.0000 0.0000 0.5000 Zn
```

---

Quick ranking, most stable first: w, x.

---

w:
Ac4TlZn2 after structural relaxation. Source: Alexandria via LeMat-Bulk, functional GGA-PBE.

## Properties
As for the space group: R-3m (166).

Structure (POSCAR):
```
Ac4TlZn2
1.0
2.7986 1.6158 8.9433
-2.7986 1.6158 8.9433
0.0000 -3.2315 8.9433
Ac Tl Zn
4 1 2
Direct
0.1177 0.1177 0.1177 Ac
0.3699 0.3699 0.3699 Ac
0.6301 0.6301 0.6301 Ac
0.8823 0.8823 0.8823 Ac
0.5000 0.5000 0.5000 Tl
0.2482 0.2482 0.2482 Zn
0.7518 0.7518 0.7518 Zn
```

---

x:
Ac4TlZn2 after structural relaxation. Source: Alexandria via LeMat-Bulk, functional GGA-PBE.

## Properties
As for the space group: R-3m (166).

Structure (POSCAR):
```
Ac4TlZn2
1.0
2.7522 1.5890 9.6179
-2.7522 1.5890 9.6179
0.0000 -3.1780 9.6179
Ac Tl Zn
4 1 2
Direct
0.1197 0.1197 0.1197 Ac
0.2940 0.2940 0.2940 Ac
0.7060 0.7060 0.7060 Ac
0.8803 0.8803 0.8803 Ac
0.5000 0.5000 0.5000 Tl
0.4032 0.4032 0.4032 Zn
0.5968 0.5968 0.5968 Zn
```

---

Quick ranking, most stable first: w, x.

---

w:
Ac3Tl2Zn after structural relaxation. Source: Alexandria via LeMat-Bulk, functional GGA-PBE.

## Properties
As for the space group: C2/c (15).

Structure (POSCAR):
```
Ac3Tl2Zn
1.0
8.5084 -3.4573 0.0000
8.5084 3.4573 0.0000
-1.5472 0.0000 6.8906
Ac Tl Zn
6 4 2
Direct
0.1379 0.8621 0.7500 Ac
0.2278 0.4409 0.3994 Ac
0.4409 0.2278 0.8994 Ac
0.5591 0.7722 0.1006 Ac
0.7722 0.5591 0.6006 Ac
0.8621 0.1379 0.2500 Ac
0.0508 0.2776 0.0383 Tl
0.2776 0.0508 0.5383 Tl
0.7224 0.9492 0.4617 Tl
0.9492 0.7224 0.9617 Tl
0.3631 0.6369 0.2500 Zn
0.6369 0.3631 0.7500 Zn
```

---

x:
Ac3Tl2Zn after structural relaxation. Source: Alexandria via LeMat-Bulk, functional GGA-PBE.

## Properties
As for the space group: Cmmm (65).

Structure (POSCAR):
```
Ac3Tl2Zn
1.0
5.7926 0.0000 0.0000
0.0000 17.3473 0.0000
0.0000 0.0000 4.0245
Ac Tl Zn
6 4 2
Direct
0.0000 0.0000 0.0000 Ac
0.0000 0.3402 0.0000 Ac
0.0000 0.6598 0.0000 Ac
0.5000 0.1598 0.0000 Ac
0.5000 0.5000 0.0000 Ac
0.5000 0.8402 0.0000 Ac
0.0000 0.1672 0.5000 Tl
0.0000 0.8328 0.5000 Tl
0.5000 0.3328 0.5000 Tl
0.5000 0.6672 0.5000 Tl
0.0000 0.5000 0.5000 Zn
0.5000 0.0000 0.5000 Zn
```

---

Quick ranking, most stable first: x, w.

---

w:
Ac2ZrTl after structural relaxation. Source: Alexandria via LeMat-Bulk, functional GGA-PBE.

## Properties
As for the space group: R-3m (166).

Structure (POSCAR):
```
Ac2ZrTl
1.0
3.5843 0.0000 0.0000
-1.7921 3.1041 0.0000
0.0000 0.0000 37.2246
Ac Zr Tl
6 3 3
Direct
0.0000 0.0000 0.0873 Ac
0.0000 0.0000 0.9127 Ac
0.3333 0.6667 0.5793 Ac
0.3333 0.6667 0.7540 Ac
0.6667 0.3333 0.2460 Ac
0.6667 0.3333 0.4207 Ac
0.0000 0.0000 0.0000 Zr
0.3333 0.6667 0.6667 Zr
0.6667 0.3333 0.3333 Zr
0.0000 0.0000 0.5000 Tl
0.3333 0.6667 0.1667 Tl
0.6667 0.3333 0.8333 Tl
```

---

x:
Ac2ZrTl after structural relaxation. Source: Alexandria via LeMat-Bulk, functional GGA-PBE.

## Properties
As for the space group: P4/mmm (123).

Structure (POSCAR):
```
Ac2ZrTl
1.0
5.1652 0.0000 0.0000
0.0000 5.1652 0.0000
0.0000 0.0000 4.8935
Ac Zr Tl
2 1 1
Direct
0.0000 0.5000 0.0000 Ac
0.5000 0.0000 0.0000 Ac
0.0000 0.0000 0.5000 Zr
0.5000 0.5000 0.5000 Tl
```

---

Quick ranking, most stable first: x, w.

---

w:
AcZrTl after structural relaxation. Source: Alexandria via LeMat-Bulk, functional GGA-PBE.

## Properties
As for the space group: Amm2 (38).

Structure (POSCAR):
```
AcZrTl
1.0
16.5736 0.0000 0.0000
0.0000 3.5726 0.0000
0.0000 0.0000 6.1870
Ac Zr Tl
4 4 4
Direct
0.1851 0.0000 0.0000 Ac
0.1851 0.5000 0.5000 Ac
0.8149 0.0000 0.0000 Ac
0.8149 0.5000 0.5000 Ac
0.3528 0.0000 0.3338 Zr
0.3528 0.5000 0.8338 Zr
0.6472 0.0000 0.3338 Zr
0.6472 0.5000 0.8338 Zr
0.0000 0.0000 0.3327 Tl
0.0000 0.5000 0.8327 Tl
0.5000 0.0000 0.0007 Tl
0.5000 0.5000 0.5007 Tl
```

---

x:
AcZrTl after structural relaxation. Source: Alexandria via LeMat-Bulk, functional GGA-PBE.

## Properties
As for the space group: I4mm (107).

Structure (POSCAR):
```
AcZrTl
1.0
3.7112 0.0000 0.0000
0.0000 3.7112 0.0000
0.0000 0.0000 13.2323
Ac Zr Tl
2 2 2
Direct
0.0000 0.0000 0.0000 Ac
0.5000 0.5000 0.5000 Ac
0.0000 0.0000 0.3168 Zr
0.5000 0.5000 0.8168 Zr
0.0000 0.0000 0.6921 Tl
0.5000 0.5000 0.1921 Tl
```

---

Quick ranking, most stable first: x, w.

---

w:
AcTm4 after structural relaxation. Source: Alexandria via LeMat-Bulk, functional GGA-PBE.

## Properties
As for the space group: I4/mmm (139).

Structure (POSCAR):
```
AcTm4
1.0
3.9759 0.0000 0.0000
0.0000 3.9759 0.0000
0.0000 0.0000 21.0143
Ac Tm
2 8
Direct
0.0000 0.0000 0.0000 Ac
0.5000 0.5000 0.5000 Ac
0.0000 0.0000 0.2070 Tm
0.0000 0.0000 0.3851 Tm
0.0000 0.0000 0.6149 Tm
0.0000 0.0000 0.7930 Tm
0.5000 0.5000 0.1149 Tm
0.5000 0.5000 0.2930 Tm
0.5000 0.5000 0.7070 Tm
0.5000 0.5000 0.8851 Tm
```

---

x:
AcTm4 after structural relaxation. Source: Alexandria via LeMat-Bulk, functional GGA-PBE.

## Properties
As for the space group: Pm-3m (221).

Structure (POSCAR):
```
AcTm4
1.0
5.8203 0.0000 0.0000
0.0000 5.8203 0.0000
0.0000 0.0000 5.8203
Ac Tm
1 4
Direct
0.0000 0.0000 0.0000 Ac
0.0000 0.0000 0.5000 Tm
0.0000 0.5000 0.0000 Tm
0.5000 0.0000 0.0000 Tm
0.5000 0.5000 0.5000 Tm
```

---

Quick ranking, most stable first: w, x.

---

w:
AcTm2 after structural relaxation. Source: Alexandria via LeMat-Bulk, functional GGA-PBE.

## Properties
As for the space group: I4/mmm (139).

Structure (POSCAR):
```
AcTm2
1.0
4.1220 0.0000 0.0000
0.0000 4.1220 0.0000
0.0000 0.0000 12.3558
Ac Tm
2 4
Direct
0.0000 0.0000 0.0000 Ac
0.5000 0.5000 0.5000 Ac
0.0000 0.0000 0.3196 Tm
0.0000 0.0000 0.6804 Tm
0.5000 0.5000 0.1804 Tm
0.5000 0.5000 0.8196 Tm
```

---

x:
AcTm2 after structural relaxation. Source: Alexandria via LeMat-Bulk, functional GGA-PBE.

## Properties
As for the space group: Fd-3m (227).

Structure (POSCAR):
```
AcTm2
1.0
0.0000 4.8229 4.8229
4.8229 0.0000 4.8229
4.8229 4.8229 0.0000
Ac Tm
2 4
Direct
0.1250 0.1250 0.1250 Ac
0.8750 0.8750 0.8750 Ac
0.0000 0.5000 0.5000 Tm
0.5000 0.0000 0.5000 Tm
0.5000 0.5000 0.0000 Tm
0.5000 0.5000 0.5000 Tm
```

---

Quick ranking, most stable first: w, x.

---

w:
Ac5Tm after structural relaxation. Source: Alexandria via LeMat-Bulk, functional GGA-PBE.

## Properties
As for the space group: Cmmm (65).

Structure (POSCAR):
```
Ac5Tm
1.0
5.5222 0.0000 0.0000
0.0000 16.6404 0.0000
0.0000 0.0000 5.5318
Ac Tm
10 2
Direct
0.0000 0.0000 0.0000 Ac
0.0000 0.1627 0.5000 Ac
0.0000 0.3358 0.0000 Ac
0.0000 0.6642 0.0000 Ac
0.0000 0.8373 0.5000 Ac
0.5000 0.1642 0.0000 Ac
0.5000 0.3373 0.5000 Ac
0.5000 0.5000 0.0000 Ac
0.5000 0.6627 0.5000 Ac
0.5000 0.8358 0.0000 Ac
0.0000 0.5000 0.5000 Tm
0.5000 0.0000 0.5000 Tm
```

---

x:
Ac5Tm after structural relaxation. Source: Alexandria via LeMat-Bulk, functional GGA-PBE.

## Properties
As for the space group: Cm (8).

Structure (POSCAR):
```
Ac5Tm
1.0
14.3587 0.0000 0.0000
0.0000 3.9676 0.0000
-2.3266 0.0000 8.9913
Ac Tm
10 2
Direct
0.0000 0.0000 0.0000 Ac
0.0511 0.0000 0.6185 Ac
0.1619 0.5000 0.3337 Ac
0.3233 0.0000 0.6785 Ac
0.3801 0.0000 0.2682 Ac
0.5000 0.5000 0.0000 Ac
0.5511 0.5000 0.6185 Ac
0.6619 0.0000 0.3337 Ac
0.8233 0.5000 0.6785 Ac
0.8801 0.5000 0.2682 Ac
0.2156 0.5000 0.9474 Tm
0.7156 0.0000 0.9474 Tm
```

---

Quick ranking, most stable first: w, x.

---

w:
Ac2YTm after structural relaxation. Source: Alexandria via LeMat-Bulk, functional GGA-PBE.

## Properties
As for the space group: P4/mmm (123).

Structure (POSCAR):
```
Ac2YTm
1.0
3.9057 0.0000 0.0000
0.0000 3.9057 0.0000
0.0000 0.0000 9.8243
Ac Y Tm
2 1 1
Direct
0.0000 0.0000 0.2466 Ac
0.0000 0.0000 0.7534 Ac
0.5000 0.5000 0.5000 Y
0.5000 0.5000 0.0000 Tm
```

---

x:
Ac2YTm after structural relaxation. Source: Alexandria via LeMat-Bulk, functional GGA-PBE.

## Properties
As for the space group: R3m (160).

Structure (POSCAR):
```
Ac2YTm
1.0
3.7944 0.0000 0.0000
-1.8972 3.2861 0.0000
0.0000 0.0000 36.1246
Ac Y Tm
6 3 3
Direct
0.0000 0.0000 0.0000 Ac
0.0000 0.0000 0.1682 Ac
0.3333 0.6667 0.6667 Ac
0.3333 0.6667 0.8349 Ac
0.6667 0.3333 0.3333 Ac
0.6667 0.3333 0.5015 Ac
0.0000 0.0000 0.7517 Y
0.3333 0.6667 0.4184 Y
0.6667 0.3333 0.0851 Y
0.0000 0.0000 0.5831 Tm
0.3333 0.6667 0.2498 Tm
0.6667 0.3333 0.9164 Tm
```

---

y:
Ac2YTm after structural relaxation. Source: Alexandria via LeMat-Bulk, functional GGA-PBE.

## Properties
As for the space group: R-3m (166).

Structure (POSCAR):
```
Ac2YTm
1.0
3.6954 0.0000 0.0000
-1.8477 3.2003 0.0000
0.0000 0.0000 39.1478
Ac Y Tm
6 3 3
Direct
0.0000 0.0000 0.0880 Ac
0.0000 0.0000 0.9120 Ac
0.3333 0.6667 0.5786 Ac
0.3333 0.6667 0.7547 Ac
0.6667 0.3333 0.2453 Ac
0.6667 0.3333 0.4214 Ac
0.0000 0.0000 0.5000 Y
0.3333 0.6667 0.1667 Y
0.6667 0.3333 0.8333 Y
0.0000 0.0000 0.0000 Tm
0.3333 0.6667 0.6667 Tm
0.6667 0.3333 0.3333 Tm
```

---

Quick ranking, most stable first: w, x, y.

---

w:
AcY2Tm after structural relaxation. Source: Alexandria via LeMat-Bulk, functional GGA-PBE.

## Properties
As for the space group: Fm-3m (225).

Structure (POSCAR):
```
AcY2Tm
1.0
8.2314 0.0000 0.0000
0.0000 8.2314 0.0000
0.0000 0.0000 8.2314
Ac Y Tm
4 8 4
Direct
0.0000 0.0000 0.0000 Ac
0.0000 0.5000 0.5000 Ac
0.5000 0.0000 0.5000 Ac
0.5000 0.5000 0.0000 Ac
0.2500 0.2500 0.2500 Y
0.2500 0.2500 0.7500 Y
0.2500 0.7500 0.2500 Y
0.2500 0.7500 0.7500 Y
0.7500 0.2500 0.2500 Y
0.7500 0.2500 0.7500 Y
0.7500 0.7500 0.2500 Y
0.7500 0.7500 0.7500 Y
0.0000 0.0000 0.5000 Tm
0.0000 0.5000 0.0000 Tm
0.5000 0.0000 0.0000 Tm
0.5000 0.5000 0.5000 Tm
```

---

x:
AcY2Tm after structural relaxation. Source: Alexandria via LeMat-Bulk, functional GGA-PBE.

## Properties
As for the space group: R-3m (166).

Structure (POSCAR):
```
AcY2Tm
1.0
3.6869 0.0000 0.0000
-1.8435 3.1930 0.0000
0.0000 0.0000 35.2365
Ac Y Tm
3 6 3
Direct
0.0000 0.0000 0.0000 Ac
0.3333 0.6667 0.6667 Ac
0.6667 0.3333 0.3333 Ac
0.0000 0.0000 0.2464 Y
0.0000 0.0000 0.7536 Y
0.3333 0.6667 0.4202 Y
0.3333 0.6667 0.9131 Y
0.6667 0.3333 0.0869 Y
0.6667 0.3333 0.5798 Y
0.0000 0.0000 0.5000 Tm
0.3333 0.6667 0.1667 Tm
0.6667 0.3333 0.8333 Tm
```

---

Quick ranking, most stable first: x, w.

---

w:
AcY2Tm after structural relaxation. Source: Alexandria via LeMat-Bulk, functional GGA-PBE.

## Properties
As for the space group: P4/mmm (123).

Structure (POSCAR):
```
AcY2Tm
1.0
5.1467 0.0000 0.0000
0.0000 5.1467 0.0000
0.0000 0.0000 5.2235
Ac Y Tm
1 2 1
Direct
0.0000 0.0000 0.0000 Ac
0.0000 0.5000 0.5000 Y
0.5000 0.0000 0.5000 Y
0.5000 0.5000 0.0000 Tm
```

---

x:
AcY2Tm after structural relaxation. Source: Alexandria via LeMat-Bulk, functional GGA-PBE.

## Properties
As for the space group: P4/mmm (123).

Structure (POSCAR):
```
AcY2Tm
1.0
4.0994 0.0000 0.0000
0.0000 4.0994 0.0000
0.0000 0.0000 8.4021
Ac Y Tm
1 2 1
Direct
0.0000 0.0000 0.0000 Ac
0.5000 0.5000 0.2800 Y
0.5000 0.5000 0.7200 Y
0.0000 0.0000 0.5000 Tm
```

---

y:
AcY2Tm after structural relaxation. Source: Alexandria via LeMat-Bulk, functional GGA-PBE.

## Properties
As for the space group: Imm2 (44).

Structure (POSCAR):
```
AcY2Tm
1.0
3.7653 0.0000 0.0000
0.0000 11.6440 0.0000
0.0000 0.0000 6.3418
Ac Y Tm
2 4 2
Direct
0.0000 0.0000 0.0000 Ac
0.5000 0.5000 0.5000 Ac
0.0000 0.2432 0.3526 Y
0.0000 0.7568 0.3526 Y
0.5000 0.2568 0.8526 Y
0.5000 0.7432 0.8526 Y
0.0000 0.5000 0.0090 Tm
0.5000 0.0000 0.5090 Tm
```

---

Quick ranking, most stable first: y, w, x.